[1]
! Sc3Tl2Pd8 | Alexandria | PBE | optimized geometry; values from VASP
&SYSTEM
  ibrav = 0, nat = 13, ntyp = 3
/
ATOMIC_SPECIES
Sc 44.96 Sc.upf
Tl 204.38 Tl.upf
Pd 106.42 Pd.upf
ATOMIC_POSITIONS crystal
Sc 0.000 0.000 0.000
Sc 0.811 0.811 0.566
Sc 0.189 0.189 0.434
Tl 0.632 0.632 0.103
Tl 0.368 0.368 0.897
Pd 0.723 0.723 0.832
Pd 0.277 0.277 0.168
Pd 0.220 0.721 0.337
Pd 0.721 0.220 0.337
Pd 0.721 0.721 0.337
Pd 0.279 0.780 0.663
Pd 0.780 0.279 0.663
Pd 0.279 0.279 0.663
CELL_PARAMETERS angstrom
5.371 0.000 0.000
2.685 4.651 0.000
2.685 1.550 9.857
! D(E_F): 6.86 states/eV/f.u.
! Magnetic moment: 0.00 μB per cell
! SG: R-3m
! Calculated total energy: -5.440 eV/atom

***

[2]
! CrRh2Au | Alexandria | PBE | optimized geometry; values from VASP
&SYSTEM
  ibrav = 0, nat = 4, ntyp = 3
/
ATOMIC_SPECIES
Au 196.97 Au.upf
Cr 52.00 Cr.upf
Rh 102.91 Rh.upf
ATOMIC_POSITIONS crystal
Au 0.503 0.503 0.498
Cr 0.256 0.256 0.233
Rh 0.995 0.995 0.004
Rh 0.746 0.746 0.764
CELL_PARAMETERS angstrom
4.788 -0.027 0.019
3.954 2.701 0.019
0.901 0.276 4.618
! D(E_F): 5.14 states/eV/f.u.
! Magnetic moment: 2.38 μB per cell
! SG: Cm
! Calculated total energy: -6.780 eV/atom

***

[3]
! Tl3Sn4Pb2 | Alexandria | PBE | optimized geometry; values from VASP
&SYSTEM
  ibrav = 0, nat = 9, ntyp = 3
/
ATOMIC_SPECIES
Tl 204.38 Tl.upf
Sn 118.71 Sn.upf
Pb 207.20 Pb.upf
ATOMIC_POSITIONS crystal
Tl 0.551 0.230 0.673
Tl 0.000 0.000 0.000
Tl 0.449 0.770 0.327
Sn 0.324 0.347 0.005
Sn 0.898 0.560 0.672
Sn 0.102 0.440 0.328
Sn 0.676 0.653 0.995
Pb 0.777 0.102 0.334
Pb 0.223 0.898 0.666
CELL_PARAMETERS angstrom
-4.005 -3.811 2.141
0.387 -1.749 5.696
-3.692 6.555 5.370
! D(E_F): 3.47 states/eV/f.u.
! Magnetic moment: 0.00 μB per cell
! SG: P-1
! Energy above the most stable polymorph in this dataset: 8.0 meV per atom
! Calculated total energy: -3.360 eV/atom

***

[4]
! LiSm5Ga4 | Alexandria | PBE | optimized geometry; values from VASP
&SYSTEM
  ibrav = 0, nat = 10, ntyp = 3
/
ATOMIC_SPECIES
Li 6.94 Li.upf
Sm 150.36 Sm.upf
Ga 69.72 Ga.upf
ATOMIC_POSITIONS crystal
Li 0.000 0.000 0.000
Sm 0.500 0.500 0.112
Sm 0.500 0.500 0.305
Sm 0.500 0.500 0.500
Sm 0.500 0.500 0.695
Sm 0.500 0.500 0.888
Ga 0.000 0.000 0.203
Ga 0.000 0.000 0.402
Ga 0.000 0.000 0.598
Ga 0.000 0.000 0.797
CELL_PARAMETERS angstrom
3.645 0.000 0.000
0.000 3.645 0.000
0.000 0.000 18.690
! D(E_F): 3.23 states/eV/f.u.
! Magnetic moment: 0.00 μB per cell
! SG: P4/mmm
! Calculated total energy: -4.214 eV/atom

***

[5]
! Nd4HfAs5 | Alexandria | PBE | optimized geometry; values from VASP
&SYSTEM
  ibrav = 0, nat = 10, ntyp = 3
/
ATOMIC_SPECIES
Nd 144.24 Nd.upf
Hf 178.49 Hf.upf
As 74.92 As.upf
ATOMIC_POSITIONS crystal
Nd 0.406 0.396 0.794
Nd 0.802 0.794 0.604
Nd 0.200 0.206 0.396
Nd 0.596 0.604 0.206
Hf 0.002 0.000 0.000
As 0.905 0.379 0.812
As 0.284 0.812 0.621
As 0.718 0.188 0.379
As 0.097 0.621 0.188
As 0.500 0.000 0.000
CELL_PARAMETERS angstrom
5.340 0.000 2.576
2.670 6.593 1.288
-0.194 0.000 7.226
! D(E_F): 2.23 states/eV/f.u.
! Magnetic moment: 0.00 μB per cell
! SG: I4
! Calculated total energy: -6.605 eV/atom

***

[6]
! ErTmAg | Alexandria | PBE | optimized geometry; values from VASP
&SYSTEM
  ibrav = 0, nat = 6, ntyp = 3
/
ATOMIC_SPECIES
Er 167.26 Er.upf
Tm 168.93 Tm.upf
Ag 107.87 Ag.upf
ATOMIC_POSITIONS crystal
Er 0.557 0.411 0.969
Er 0.886 0.577 0.463
Tm 0.048 0.158 0.206
Tm 0.720 0.993 0.713
Ag 0.166 0.716 0.881
Ag 0.440 0.854 0.294
CELL_PARAMETERS angstrom
-0.119 0.969 -4.961
-3.840 -2.448 2.198
-1.912 6.505 3.872
! D(E_F): 3.05 states/eV/f.u.
! Magnetic moment: 0.00 μB per cell
! SG: Cm
! Energy above the most stable polymorph in this dataset: 114.8 meV per atom
! Calculated total energy: -4.029 eV/atom

***

So what do the calculations give for ΔH_f (0 K)? Going down the list: -9.67, 2.80, 0.74, -10.44, -31.77, -1.55 kcal/mol of atoms.